[1]
A plane-wave DFT calculation with PBE was carried out for Tb2MgTa2Rh5 after structural relaxation.

a = 3.2452 Å, b = 10.7143 Å, c = 10.7143 Å
α = 90.00°, β = 90.00°, γ = 90.00°
Fractional positions:
Tb (0.0000, 0.6697, 0.1697)
Tb (0.0000, 0.3303, 0.8303)
Tb (0.0000, 0.1697, 0.3303)
Tb (0.0000, 0.8303, 0.6697)
Mg (0.0000, 0.0000, 0.0000)
Mg (0.0000, 0.5000, 0.5000)
Ta (0.0000, 0.1376, 0.6376)
Ta (0.0000, 0.8624, 0.3624)
Ta (0.0000, 0.6376, 0.8624)
Ta (0.0000, 0.3624, 0.1376)
Rh (0.5000, 0.1980, 0.0543)
Rh (0.5000, 0.8020, 0.9457)
Rh (0.5000, 0.0543, 0.8020)
Rh (0.5000, 0.6980, 0.4457)
Rh (0.5000, 0.9457, 0.1980)
Rh (0.5000, 0.3020, 0.5543)
Rh (0.5000, 0.5543, 0.6980)
Rh (0.5000, 0.4457, 0.3020)
Rh (0.5000, 0.5000, 0.0000)
Rh (0.5000, 0.0000, 0.5000)

Calculated values
Symmetry: P4/mbm, No. 127
Electronic total energy in eV per atom: -7.561
M_tot in μB per cell: 0.0
Formation energy in eV/atom: -0.429

[2]
A plane-wave DFT calculation with PBE was carried out for CaGaN2F after structural relaxation.

a = 4.7850 Å, b = 4.7850 Å, c = 4.3169 Å
α = 90.00°, β = 90.00°, γ = 90.00°
Last column: magnetic moment on the atom in μB.
Fractional positions:
Ca (0.0000, 0.0000, 0.0000)  0.02
N (0.0000, 0.5000, 0.0000)  1.27
N (0.5000, 0.0000, 0.0000)  1.27
Ga (0.5000, 0.5000, 0.5000)  0.05
F (0.0000, 0.0000, 0.5000)  0.05

Calculated values
Symmetry: P4/mmm, No. 123
Offset from the most stable computed form in eV/atom: 0.9725
Uncorrected formation energy in eV per atom: 0.3182
Electronic total energy in eV per atom: -4.392
M_tot in μB per cell: 4.0